The following is a GGA-PBE calculation of an optimized crystal structure of AlAu3, from Alexandria.

* crystal system: orthorhombic
* D(E_F): 0.3697 states/eV per atom
* DFT formation energy: -0.1815 eV per atom

a b c (Å): 4.451 3.274 4.811
angles (deg): 90.00 90.00 90.00
Sites, in units of the cell vectors:
1 Au 0.000 0.000 0.004
2 Au 0.000 0.500 0.526
3 Au 0.500 0.500 0.161
4 Al 0.500 0.000 0.643